No. 1
# Sc2ReW

An optimized crystal structure of Sc2ReW (PBE-GGA, the Alexandria database).

Properties
**E**: -9.57 eV per atom
**SG**: P4mm, No. 99
**Calculated formation energy**: -21.9 kJ/mol of formula units

Cell and atoms, written as POSCAR:
```
Sc2ReW
1.0
-2.707 1.172 -1.172
-1.656 -2.000 1.825
-0.156 5.209 5.566
Sc W Re
2 1 1
direct
0.000 0.000 0.950 Sc
0.500 0.500 0.292 Sc
0.000 0.000 0.533 W
0.500 0.500 0.724 Re
```


No. 2
# Sc2MnP

An optimized crystal structure of Sc2MnP (PBE-GGA, the Alexandria database).

Properties
**E**: -7.36 eV per atom
**SG**: R3m, No. 160
**Calculated formation energy**: -213.0 kJ/mol of formula units

Cell and atoms, written as POSCAR:
```
Sc2MnP
1.0
5.016 -2.005 -0.025
5.016 2.005 -0.025
4.232 0.000 3.358
Sc P Mn
2 1 1
direct
0.974 0.974 0.974 Sc
0.780 0.780 0.780 Sc
0.205 0.205 0.205 P
0.540 0.540 0.540 Mn
```


No. 3
# Fe2AgRu

An optimized crystal structure of Fe2AgRu (PBE-GGA, the Alexandria database).

Properties
**E**: -6.87 eV per atom
**SG**: Pm, No. 6
**Calculated formation energy**: 150.3 kJ/mol of formula units

Cell and atoms, written as POSCAR:
```
Fe2AgRu
1.0
-2.064 -1.217 3.331
-1.252 -1.811 -1.437
3.035 -4.551 0.217
Fe Ag Ru
2 1 1
direct
0.000 0.049 0.020 Fe
0.500 0.210 0.253 Fe
0.500 0.773 0.761 Ag
0.000 0.468 0.466 Ru
```